# 1
# Sn3SbMo

A geometry-optimized Sn3SbMo structure (GGA-PBE, the Alexandria database).

Results
For the magnetic moment, the calculation gives 2.56 μB per formula unit. As for the polymorph energy (0 for the lowest one): 0.00 eV per formula unit. The calculation puts the density at 6.363 Mg/m³.

a = 5.3104 Å, b = 5.3104 Å, c = 5.3104 Å
α = 90.00°, β = 90.00°, γ = 90.00°
Last column: nearest neighbours and their distance in Å.
Atoms (fractional coordinates):
Sn: 0.5000 0.0000 0.0000  2 Mo 2.66
Sb: 0.5000 0.5000 0.5000  12 Sn 3.76
Mo: 0.0000 0.0000 0.0000  6 Sn 2.66
Sn: 0.0000 0.5000 0.0000  2 Mo 2.66
Sn: 0.0000 0.0000 0.5000  2 Mo 2.66



# 2
# Sm2U2Se7

A geometry-optimized Sm2U2Se7 structure (GGA-PBE, the Alexandria database).

Results
For the magnetic moment, the calculation gives 4.00 μB per formula unit. The calculation puts the calculated total energy at -6.582 eV/atom. The calculation puts the density at 8.021 Mg/m³.

a = 4.0947 Å, b = 8.9490 Å, c = 8.9490 Å
α = 60.51°, β = 76.77°, γ = 76.77°
Last column: nearest neighbours and their distance in Å.
Atoms (fractional coordinates):
Se: 0.8191 0.0684 0.2934  1 U 2.86, 3 Sm 2.87-2.95
Se: 0.3934 0.7142 0.4990  3 U 2.97-3.03, 2 Sm 3.07, 1 Se 3.18
Sm: 0.2601 0.3282 0.1517  7 Se 2.87-3.14
Se: 0.8677 0.4147 0.8500  2 U 2.88, 2 Sm 3.14
Se: 0.5000 0.0113 0.9887  3 U 2.87-2.91
Sm: 0.7399 0.8483 0.6718  7 Se 2.87-3.14
U: 0.5000 0.3299 0.6701  7 Se 2.87-2.97
Se: 0.1809 0.7066 0.9316  1 U 2.86, 3 Sm 2.87-2.95
Se: 0.6066 0.5010 0.2858  3 U 2.97-3.03, 2 Sm 3.07, 1 Se 3.18
Se: 0.1323 0.1500 0.5853  2 U 2.88, 2 Sm 3.14
U: 0.0000 0.7814 0.2186  8 Se 2.86-3.03



# 3
# Ac8Nd3Y2

A geometry-optimized Ac8Nd3Y2 structure (GGA-PBE, the Alexandria database).

Results
For the magnetic moment, the calculation gives 0.00 μB per formula unit. The energy of formation from the pure elements comes out at 43.1 meV per atom. The calculation puts the density at 7.617 Mg/m³.

a = 6.7127 Å, b = 6.6862 Å, c = 12.7630 Å
α = 69.60°, β = 84.90°, γ = 80.33°
Last column: nearest neighbours and their distance in Å.
Atoms (fractional coordinates):
Nd: 0.5380 0.6986 0.0747  4 Nd 3.78-3.89, 8 Ac 3.79-3.90
Ac: 0.6159 0.0776 0.2276  4 Nd 3.79-3.89, 6 Ac 3.85-3.91, 2 Y 3.86-3.88
Ac: 0.3072 0.5446 0.6145  4 Y 3.78-3.90, 7 Ac 3.83-3.91, 1 Nd 3.89
Ac: 0.0817 0.3900 0.1520  5 Nd 3.82-3.90, 6 Ac 3.83-3.91, 1 Y 3.89
Ac: 0.6928 0.4554 0.3855  4 Y 3.78-3.90, 7 Ac 3.83-3.91, 1 Nd 3.89
Ac: 0.8468 0.2295 0.6911  7 Ac 3.83-3.89, 3 Y 3.83-3.90, 2 Nd 3.86-3.88
Nd: 0.0000 0.0000 0.0000  8 Ac 3.82-3.88, 4 Nd 3.85
Ac: 0.9183 0.6100 0.8480  5 Nd 3.82-3.90, 6 Ac 3.83-3.91, 1 Y 3.89
Nd: 0.4620 0.3014 0.9253  4 Nd 3.78-3.89, 8 Ac 3.79-3.90
Y: 0.2329 0.1481 0.4632  10 Ac 3.78-3.90, 2 Y 3.82-3.85
Y: 0.7671 0.8519 0.5368  10 Ac 3.78-3.90, 2 Y 3.82-3.85
Ac: 0.1532 0.7705 0.3089  7 Ac 3.83-3.89, 3 Y 3.83-3.90, 2 Nd 3.86-3.88
Ac: 0.3841 0.9224 0.7724  4 Nd 3.79-3.89, 6 Ac 3.85-3.91, 2 Y 3.86-3.88



# 4
# PrHoAgBi

A geometry-optimized PrHoAgBi structure (GGA-PBE, the Alexandria database).

Results
For the magnetic moment, the calculation gives 0.00 μB per formula unit. The energy of formation from the pure elements comes out at -436.8 meV per atom. The calculation puts the density at 9.365 Mg/m³.

a = 5.3848 Å, b = 5.3848 Å, c = 5.3848 Å
α = 60.00°, β = 60.00°, γ = 60.00°
Last column: nearest neighbours and their distance in Å.
Atoms (fractional coordinates):
Bi: 0.7500 0.7500 0.7500  4 Ho 3.30, 4 Pr 3.30
Pr: 0.5000 0.5000 0.5000  4 Bi 3.30, 4 Ag 3.30
Ag: 0.2500 0.2500 0.2500  4 Ho 3.30, 4 Pr 3.30
Ho: 0.0000 0.0000 0.0000  4 Bi 3.30, 4 Ag 3.30



# 5
# LaTm12Sc6

A geometry-optimized LaTm12Sc6 structure (GGA-PBE, the Alexandria database).

Results
For the magnetic moment, the calculation gives 0.00 μB per formula unit. The energy of formation from the pure elements comes out at 386.2 meV per atom. The calculation puts the density at 6.847 Mg/m³.

a = 8.4720 Å, b = 8.4720 Å, c = 8.4720 Å
α = 97.54°, β = 97.54°, γ = 97.54°
Last column: nearest neighbours and their distance in Å.
Atoms (fractional coordinates):
Sc: 0.7320 0.1915 0.1915  4 Tm 2.89-3.05
Tm: 0.5000 0.1250 0.8750  4 Sc 2.89-3.05, 1 Tm 3.18
Tm: 0.8091 0.5282 0.5282  9 Tm 3.42-3.76, 3 Sc 3.45-3.69
Sc: 0.1915 0.7320 0.1915  4 Tm 2.89-3.05
Tm: 0.5282 0.5282 0.8091  9 Tm 3.42-3.76, 3 Sc 3.45-3.69
Sc: 0.1915 0.1915 0.7320  4 Tm 2.89-3.05
La: 0.0000 0.0000 0.0000  6 Sc 3.42
Tm: 0.1250 0.5000 0.8750  4 Sc 2.89-3.05, 1 Tm 3.18
Tm: 0.5000 0.8750 0.1250  4 Sc 2.89-3.05, 1 Tm 3.18
Tm: 0.8750 0.5000 0.1250  4 Sc 2.89-3.05, 1 Tm 3.18
Tm: 0.1909 0.4718 0.4718  9 Tm 3.42-3.76, 3 Sc 3.45-3.69
Sc: 0.2680 0.8085 0.8085  4 Tm 2.89-3.05
Tm: 0.4718 0.4718 0.1909  9 Tm 3.42-3.76, 3 Sc 3.45-3.69
Sc: 0.8085 0.8085 0.2680  4 Tm 2.89-3.05
Tm: 0.1250 0.8750 0.5000  4 Sc 2.89-3.05, 1 Tm 3.18
Tm: 0.8750 0.1250 0.5000  4 Sc 2.89-3.05, 1 Tm 3.18
Tm: 0.4718 0.1909 0.4718  9 Tm 3.42-3.76, 3 Sc 3.45-3.69
Tm: 0.5282 0.8091 0.5282  9 Tm 3.42-3.76, 3 Sc 3.45-3.69
Sc: 0.8085 0.2680 0.8085  4 Tm 2.89-3.05



# 6
# PmAgH2O4

A geometry-optimized PmAgH2O4 structure (GGA-PBE, the Alexandria database).

Results
For the magnetic moment, the calculation gives 0.00 μB per formula unit. The calculation puts the calculated total energy at -5.562 eV/atom. The calculation puts the density at 6.181 Mg/m³.

a = 4.9655 Å, b = 4.8536 Å, c = 4.8536 Å
α = 69.17°, β = 59.23°, γ = 59.23°
Last column: nearest neighbours and their distance in Å.
Atoms (fractional coordinates):
O: 0.0087 0.4062 0.1673  1 H 1.21
Ag: 0.5000 0.5000 0.5000  4 O 2.09
Pm: 0.0000 0.0000 0.0000  8 O 2.41-2.69
O: 0.9913 0.8327 0.5938  1 H 1.21
O: 0.4179 0.1673 0.4062  1 H 1.21
H: 0.7918 0.7082 0.7082  2 O 1.21
H: 0.2082 0.2918 0.2918  2 O 1.21
O: 0.5821 0.5938 0.8327  1 H 1.21



# 7
# Na2PbBr4

A geometry-optimized Na2PbBr4 structure (GGA-PBE, the Alexandria database).

Results
For the magnetic moment, the calculation gives 0.00 μB per formula unit. As for the polymorph energy (0 for the lowest one): 0.15 eV per formula unit. The calculation puts the density at 4.063 Mg/m³.

a = 4.4469 Å, b = 7.5091 Å, c = 8.4960 Å
α = 120.04°, β = 105.17°, γ = 90.00°
Last column: nearest neighbours and their distance in Å.
Atoms (fractional coordinates):
Br: 0.3618 0.7147 0.7236  1 Na 2.99, 2 Pb 3.10
Pb: 0.0000 0.0000 0.0000  6 Br 3.01-3.10
Br: 0.1238 0.8124 0.2477  3 Na 2.89-2.99, 1 Pb 3.01
Br: 0.8762 0.1876 0.7523  3 Na 2.89-2.99, 1 Pb 3.01
Na: 0.7164 0.7437 0.4328  4 Br 2.89-2.99
Na: 0.2836 0.2563 0.5672  4 Br 2.89-2.99
Br: 0.6382 0.2853 0.2764  1 Na 2.99, 2 Pb 3.10



# 8
# Zn3CS

A geometry-optimized Zn3CS structure (GGA-PBE, the Alexandria database).

Results
For the magnetic moment, the calculation gives 0.00 μB per formula unit. As for the polymorph energy (0 for the lowest one): 0.00 eV per formula unit. The calculation puts the density at 5.592 Mg/m³.

a = 4.1477 Å, b = 4.1477 Å, c = 4.1477 Å
α = 90.00°, β = 90.00°, γ = 90.00°
Last column: nearest neighbours and their distance in Å.
Atoms (fractional coordinates):
Zn: 0.5000 0.0000 0.0000  2 C 2.07
S: 0.5000 0.5000 0.5000  12 Zn 2.93
C: 0.0000 0.0000 0.0000  6 Zn 2.07
Zn: 0.0000 0.0000 0.5000  2 C 2.07
Zn: 0.0000 0.5000 0.0000  2 C 2.07



# 9
# LiSiAgF2

A geometry-optimized LiSiAgF2 structure (GGA-PBE, the Alexandria database).

Results
For the magnetic moment, the calculation gives 0.00 μB per formula unit. The calculation puts the calculated total energy at -3.709 eV/atom. The calculation puts the density at 4.256 Mg/m³.

a = 3.6993 Å, b = 5.1573 Å, c = 3.6993 Å
α = 90.00°, β = 90.00°, γ = 90.00°
Last column: nearest neighbours and their distance in Å.
Atoms (fractional coordinates):
Ag: 0.5000 0.5000 0.5000  4 Si 2.62
F: 0.5000 0.0000 0.0000  2 Li 1.85
Si: 0.0000 0.5000 0.0000  2 Li 2.58, 4 Ag 2.62
F: 0.0000 0.0000 0.5000  2 Li 1.85
Li: 0.0000 0.0000 0.0000  4 F 1.85



# 10
# Tb5Sc

A geometry-optimized Tb5Sc structure (GGA-PBE, the Alexandria database).

Results
For the magnetic moment, the calculation gives 0.00 μB per formula unit. The energy of formation from the pure elements comes out at 33.9 meV per atom. The calculation puts the density at 7.598 Mg/m³.

a = 6.0881 Å, b = 6.0783 Å, c = 6.0797 Å
α = 99.66°, β = 120.05°, γ = 70.43°
Last column: nearest neighbours and their distance in Å.
Atoms (fractional coordinates):
Tb: 0.3057 0.0000 0.6113  9 Tb 3.51-3.52, 3 Sc 3.51
Tb: 0.6391 0.0000 0.2783  3 Sc 3.51, 9 Tb 3.51-3.52
Sc: 0.9722 0.0000 0.9443  12 Tb 3.50-3.51
Tb: 0.8077 0.5000 0.6155  10 Tb 3.46-3.54, 2 Sc 3.50
Tb: 0.4721 0.5000 0.9442  10 Tb 3.50-3.53, 2 Sc 3.51
Tb: 0.1365 0.5000 0.2731  10 Tb 3.46-3.54, 2 Sc 3.50